PmNiSe2O6 | Alexandria via LeMat-Bulk | GGA+U | optimized geometry; DOS(E_F) = 6.1 states/eV per cell; space-group type = R-3, No. 148; energy = -5.647 eV per atom
1.0
-0.193 -4.223 -3.036
2.444 -4.361 1.450
-4.137 -4.663 2.288
Se O Ni Pm
2 6 1 1
Cartesian
-0.801 -9.710 0.174 Se
-1.084 -3.538 0.529 Se
-2.013 -5.838 2.192 O
-0.405 -4.662 -0.657 O
1.213 -6.412 1.031 O
-1.480 -8.585 1.359 O
0.128 -7.410 -1.490 O
-3.098 -6.836 -0.329 O
-0.943 -6.624 0.351 Ni
0.000 0.000 0.000 Pm